Record 1
Crystalline K2SiAu at its relaxed geometry, computed with PBEsol.

Cell: 4.593 5.833 5.833 Å, 59.57 90.00 90.00°
Atoms (fractional coordinates):
K1 0.000 0.000 0.000
K2 0.500 0.331 0.331
Si1 0.000 0.667 0.667
Au1 0.500 0.663 0.663

Properties
The space group is Amm2, No. 38. For the density of states at the Fermi level, the calculation gives 0.353 states/eV per atom. For the formation energy (no corrections), the calculation gives -0.131 eV per atom. The value obtained for the raw total energy is -12.5 eV for the cell shown.


Record 2
Crystalline LaTa at its relaxed geometry, computed with PBEsol.

Cell: 3.511 3.511 7.899 Å, 90.00 90.00 90.00°
Atoms (fractional coordinates):
La1 0.250 0.250 0.155
La2 0.750 0.750 0.845
Ta1 0.250 0.250 0.578
Ta2 0.750 0.750 0.422

Properties
The space group is P4/nmm, No. 129. For the density of states at the Fermi level, the calculation gives 1.353 states/eV per atom. Its energy above the most stable polymorph in this dataset is 0 meV/atom. The value obtained for the raw total energy is -34.6 eV for the cell shown.


Record 3
Crystalline In2TeAs at its relaxed geometry, computed with PBEsol.

Cell: 4.000 4.000 6.762 Å, 90.00 90.00 90.00°
Atoms (fractional coordinates):
In1 0.000 0.000 0.000
In2 0.500 0.500 0.416
Te1 0.000 0.000 0.554
As1 0.500 0.500 0.025

Properties
The space group is P4mm, No. 99. For the density of states at the Fermi level, the calculation gives 0.282 states/eV per atom. Its energy above the most stable polymorph in this dataset is 0 meV/atom. For the formation energy (no corrections), the calculation gives -0.161 eV per atom. The value obtained for the raw total energy is -15.2 eV for the cell shown.


Record 4
Crystalline ScTcPdBr2 at its relaxed geometry, computed with PBEsol.

Cell: 4.841 4.841 4.862 Å, 90.00 90.00 90.00°
Atoms (fractional coordinates):
Sc1 0.000 0.000 0.000
Tc1 0.000 0.000 0.500
Pd1 0.500 0.500 0.000
Br1 0.000 0.500 0.500
Br2 0.500 0.000 0.500

Properties
The space group is P4/mmm, No. 123. For the density of states at the Fermi level, the calculation gives 0.827 states/eV per atom. For the formation energy (no corrections), the calculation gives 0.527 eV per atom. The value obtained for the raw total energy is -24.9 eV for the cell shown.